This record from Alexandria via LeMat-Bulk describes an optimized crystal structure of CuNi. The functional is GGA-PBE.

Unit cell a=2.507 b=2.507 c=4.157 alpha=90.00 beta=90.00 gamma=120.00
Last column: magnetic moment on the atom in μB.
Fractional coordinates of all 2 atoms:
Ni (0.333, 0.667, 0.500)  0.23
Cu (0.000, 0.000, 0.000)  -0.01

DFT formation energy   27 meV per atom
Space group   No. 187

This record from Alexandria via LeMat-Bulk describes an optimized crystal structure of VSiPt3. The functional is GGA-PBE.

Unit cell a=4.507 b=4.507 c=4.507 alpha=90.00 beta=90.00 gamma=90.00
Last column: magnetic moment on the atom in μB.
Fractional coordinates of all 5 atoms:
V (0.500, 0.500, 0.500)  2.62
Pt (0.500, 0.000, 0.000)  0.05
Pt (0.000, 0.000, 0.500)  0.05
Pt (0.000, 0.500, 0.000)  0.05
Si (0.000, 0.000, 0.000)  0.00

Distance to the lowest polymorph of the same formula   0 meV/atom
Space group   No. 221

This record from Alexandria via LeMat-Bulk describes an optimized crystal structure of PaGe2Rh. The functional is GGA-PBE.

Unit cell a=3.147 b=3.147 c=7.216 alpha=90.00 beta=90.00 gamma=90.00
Fractional coordinates of all 4 atoms:
Pa (0.500, 0.500, 0.500)
Ge (0.000, 0.000, 0.207)
Ge (0.000, 0.000, 0.793)
Rh (0.500, 0.500, 0.000)

DFT formation energy   -348 meV per atom
Space group   No. 123

This record from Alexandria via LeMat-Bulk describes an optimized crystal structure of HfSc2Pb. The functional is GGA-PBE.

Unit cell a=3.426 b=3.426 c=8.090 alpha=90.00 beta=90.00 gamma=90.00
Fractional coordinates of all 4 atoms:
Hf (0.500, 0.500, 0.500)
Pb (0.500, 0.500, 0.000)
Sc (0.000, 0.000, 0.252)
Sc (0.000, 0.000, 0.748)

Distance to the lowest polymorph of the same formula   0 meV/atom
DFT formation energy   -151 meV per atom
Space group   No. 123

This record from Alexandria via LeMat-Bulk describes an optimized crystal structure of CdSnSb2. The functional is GGA-PBE.

Unit cell a=3.327 b=3.327 c=11.720 alpha=81.84 beta=81.84 gamma=60.00
Fractional coordinates of all 4 atoms:
Sb (0.084, 0.084, 0.748)
Sb (0.916, 0.916, 0.252)
Cd (0.000, 0.000, 0.000)
Sn (0.500, 0.500, 0.500)

Distance to the lowest polymorph of the same formula   177 meV/atom
Space group   No. 166

This record from Alexandria via LeMat-Bulk describes an optimized crystal structure of Tb6CeDy3Er2. The functional is GGA-PBE.

Unit cell a=6.140 b=6.140 c=11.762 alpha=94.99 beta=94.99 gamma=119.98
Last column: magnetic moment on the atom in μB.
Fractional coordinates of all 12 atoms:
Dy (0.833, 0.167, 0.500)  -0.02
Dy (0.167, 0.833, 0.500)  -0.02
Dy (0.500, 0.500, 0.500)  -0.02
Tb (0.917, 0.585, 0.751)  0.02
Tb (0.585, 0.917, 0.751)  0.02
Tb (0.248, 0.248, 0.750)  0.02
Tb (0.415, 0.083, 0.249)  0.02
Tb (0.752, 0.752, 0.250)  0.02
Tb (0.083, 0.415, 0.249)  0.02
Ce (0.000, 0.000, 0.000)  0.78
Er (0.333, 0.667, 0.000)  0.06
Er (0.667, 0.333, 0.000)  0.06

DFT formation energy   35 meV per atom
Space group   No. 12

One value per record, in order, for DFT total energy: -4.9116, -6.2869, -6.8688, -6.7326, -3.1582, -4.6857 eV/atom.